Crystalline Li2SmY2Mg5 at its relaxed geometry. Source: Alexandria, functional PBE.

formation enthalpy at 0 K	-0.4	eV per formula unit
symmetry	P4/mbm (127)

Unit cell a=10.6343 b=10.6343 c=4.4131 alpha=90.00 beta=90.00 gamma=90.00
Element x y z (fractional)
Li (0.1138, 0.3862, 0.0000)
Li (0.3862, 0.8862, 0.0000)
Li (0.6138, 0.1138, 0.0000)
Li (0.8862, 0.6138, 0.0000)
Sm (0.0000, 0.0000, 0.0000)
Sm (0.5000, 0.5000, 0.0000)
Y (0.1804, 0.6804, 0.0000)
Y (0.3196, 0.1804, 0.0000)
Y (0.6804, 0.8196, 0.0000)
Y (0.8196, 0.3196, 0.0000)
Mg (0.0000, 0.5000, 0.5000)
Mg (0.0618, 0.2167, 0.5000)
Mg (0.2167, 0.9382, 0.5000)
Mg (0.2833, 0.4382, 0.5000)
Mg (0.4382, 0.7167, 0.5000)
Mg (0.5000, 0.0000, 0.5000)
Mg (0.5618, 0.2833, 0.5000)
Mg (0.7167, 0.5618, 0.5000)
Mg (0.7833, 0.0618, 0.5000)
Mg (0.9382, 0.7833, 0.5000)